Sr7Tl2Zn2 | the Alexandria database | GGA-PBE | relaxed; ΔH_f (0 K) = -97 meV/atom
1.0
4.375 -6.356 0.000
4.375 6.356 0.000
0.000 0.000 8.139
Sr Tl Zn
7 2 2
direct
0.000 0.000 0.000
0.000 0.500 0.266
0.000 0.500 0.734
0.500 0.000 0.266
0.500 0.000 0.734
0.500 0.500 0.248
0.500 0.500 0.752
0.171 0.171 0.500
0.829 0.829 0.500
0.296 0.704 0.000
0.704 0.296 0.000

---

ZrSc2HgB | the Alexandria database | GGA-PBE | relaxed; ΔH_f (0 K) = -291 meV/atom
1.0
4.669 0.000 0.000
0.000 4.669 0.000
0.000 0.000 4.620
Zr Sc Hg B
1 2 1 1
direct
0.000 0.000 0.000
0.000 0.500 0.500
0.500 0.000 0.500
0.500 0.500 0.000
0.000 0.000 0.500

---

InNiS2Cl | the Alexandria database | GGA-PBE | relaxed; distance to the lowest polymorph of the same formula = 0.6419 eV/atom; formation energy (no corrections) = 0.595 eV/atom
1.0
4.955 0.000 0.000
0.000 4.955 0.000
0.000 0.000 4.966
In Ni S Cl
1 1 2 1
direct
0.000 0.000 0.000
0.500 0.500 0.500
0.000 0.500 0.000
0.500 0.000 0.000
0.000 0.000 0.500

---

Computed values of magnetic moment (unit: μB/atom) for the preceding records, in sequence: 0.000 0.000 0.311.